# Tm3Ag2Hg3, relaxed, DFT GGA-PBE
# - total energy (eV per atom) = -2.838
# - total magnetic moment (μB per atom) = 0.00
# - formation energy (eV/atom) = -0.34
# - density (Mg/m³) = 11.62
data_Tm3Ag2Hg3
_space_group_name_H-M_alt 'P -6 2 m'
_space_group_IT_number 189
_space_group_name_Hall 'P -6 -2'
_cell_length_a 7.6202
_cell_length_b 7.6202
_cell_length_c 3.7637
_cell_angle_alpha 90.00
_cell_angle_beta 90.00
_cell_angle_gamma 120.00
loop_
_atom_site_label
_atom_site_fract_x
_atom_site_fract_y
_atom_site_fract_z
Tm1 0.0000 0.3978 0.0000
Ag1 0.3333 0.6667 0.5000
Hg1 0.0000 0.7614 0.5000